A geometry-optimized K4TlI5 structure, computed with PBE.

Cell: 5.0537 5.0537 18.2530 Å, 97.96 97.96 90.00°
Atoms (fractional coordinates):
K 0.2000 0.2000 0.4000
I 0.0998 0.0998 0.1996
Tl 0.0000 0.0000 0.0000
K 0.8000 0.8000 0.6000
I 0.3001 0.3001 0.6001
I 0.5000 0.5000 0.0000
K 0.5996 0.5996 0.1992
K 0.4004 0.4004 0.8008
I 0.6999 0.6999 0.3999
I 0.9002 0.9002 0.8004

* total moment: 0.000 μB/atom
* E: -2.772 eV/atom
* formation energy (no corrections): -1.321 eV/atom